No. 1
Below is a relaxed structure of AcScTcO6, with properties calculated at the PBE level.

a = 5.3570 Å, b = 5.3570 Å, c = 5.3352 Å
α = 90.00°, β = 90.00°, γ = 120.00°
Closest atoms and distances in Å follow each position.
Space group P312 (No. 149)
Inequivalent atoms, fractional coordinates:
1 Ac 0.0000 0.0000 0.0000  6 O 2.53
2 Sc 0.3333 0.6667 0.5000  6 O 2.10
3 Tc 0.6667 0.3333 0.5000  6 O 1.94
4 O 0.3821 0.0228 0.7068  1 Tc 1.94, 1 Sc 2.10

Properties
The density of states at the Fermi level is 0.603 states/eV per atom. The value obtained for the uncorrected formation energy is -2205 kJ/mol of formula units. The value obtained for the total energy is -0.29974 Ha/atom. Its total moment is 1.01 μB per formula unit. Its theoretical density is 5.8 Mg/m³.

No. 2
Below is a relaxed structure of Sr2TbSi3Pt4, with properties calculated at the PBE level.

a = 4.3689 Å, b = 4.3689 Å, c = 10.7246 Å
α = 90.00°, β = 90.00°, γ = 90.00°
Closest atoms and distances in Å follow each position.
Space group P-4m2 (No. 115)
Inequivalent atoms, fractional coordinates:
1 Sr 0.0000 0.5000 0.2326  8 Pt 3.29-3.32, 6 Si 3.34-3.60, 2 Tb 3.60
2 Tb 0.0000 0.0000 0.5000  4 Pt 2.79, 4 Si 3.09
3 Si 0.0000 0.5000 0.8867  5 Pt 2.41-2.50
4 Si 0.5000 0.5000 0.5000  4 Pt 2.79, 4 Tb 3.09
5 Pt 0.0000 0.0000 0.0000  4 Si 2.50
6 Pt 0.0000 0.5000 0.6616  1 Si 2.41
7 Pt 0.5000 0.5000 0.0000  4 Si 2.50

Properties
The density of states at the Fermi level is 0.316 states/eV per atom. The value obtained for the uncorrected formation energy is -905 kJ/mol of formula units. The value obtained for the total energy is -0.21244 Ha/atom. Its total moment is 0.00 μB per formula unit. Its theoretical density is 9.7 Mg/m³.

No. 3
Below is a relaxed structure of CaBe2Cd, with properties calculated at the PBE level.

a = 3.8909 Å, b = 3.5616 Å, c = 10.6422 Å
α = 90.00°, β = 90.00°, γ = 90.00°
Closest atoms and distances in Å follow each position.
Space group Amm2 (No. 38)
Inequivalent atoms, fractional coordinates:
1 Ca 0.0000 0.0000 0.0000  7 Be 2.89-3.04
2 Be 0.0000 0.0000 0.2858  2 Be 2.15
3 Be 0.5000 0.0000 0.3724  2 Be 2.15
4 Cd 0.5000 0.0000 0.7021  6 Be 2.54-2.78

Properties
The density of states at the Fermi level is 0.328 states/eV per atom. The value obtained for the total energy is -0.08726 Ha/atom. For the calculated formation energy, the calculation gives 0.87 eV/f.u. Its total moment is 0.00 μB per formula unit. Its theoretical density is 3.8 Mg/m³.

No. 4
Below is a relaxed structure of Cr2HgSbMo, with properties calculated at the PBE level.

a = 5.0213 Å, b = 5.0213 Å, c = 5.1675 Å
α = 90.00°, β = 90.00°, γ = 90.00°
Closest atoms and distances in Å follow each position.
Space group P4/mmm (No. 123)
Inequivalent atoms, fractional coordinates:
1 Cr 0.0000 0.5000 0.0000  2 Hg 2.51
2 Hg 0.0000 0.0000 0.0000  4 Cr 2.51, 2 Mo 2.58
3 Sb 0.5000 0.5000 0.5000  4 Mo 3.55, 8 Cr 3.60
4 Mo 0.0000 0.0000 0.5000  2 Hg 2.58

Properties
The density of states at the Fermi level is 0.942 states/eV per atom. The value obtained for the uncorrected formation energy is 747 kJ/mol of formula units. The value obtained for the total energy is -0.19672 Ha/atom. Its total moment is 5.25 μB per formula unit. Its theoretical density is 6.7 Mg/m³.